YPdS2: relaxed, PBE.

a b c (Å): 5.1723 5.1723 13.9563
angles (deg): 90.00 90.00 90.00
Sites, in units of the cell vectors:
Y  0.0000  0.0000  0.0000
Y  0.0000  0.5000  0.2500
Y  0.5000  0.0000  0.7500
Y  0.5000  0.5000  0.5000
Pd  0.0000  0.0000  0.5000
Pd  0.0000  0.5000  0.7500
Pd  0.5000  0.0000  0.2500
Pd  0.5000  0.5000  0.0000
S  0.2125  0.2500  0.6250
S  0.2500  0.7125  0.8750
S  0.2500  0.7875  0.3750
S  0.2875  0.2500  0.1250
S  0.7125  0.7500  0.1250
S  0.7500  0.2125  0.3750
S  0.7500  0.2875  0.8750
S  0.7875  0.7500  0.6250

Calculated values
Its space-group type is I-42d. The polymorph energy (0 for the lowest one) is 0.055 eV per formula unit. As for the formation energy from raw total energies: -408.5 kJ/mol of formula units. The calculation puts the density of states at the Fermi level at 6.50 states/eV/f.u. Its total DFT energy (no corrections) is -96.581 eV per cell.

La2Sn2Hg: relaxed, PBE.

a b c (Å): 8.0225 8.0225 4.6946
angles (deg): 90.00 90.00 90.00
Sites, in units of the cell vectors:
La  0.1754  0.3246  0.0000
La  0.3246  0.8246  0.0000
La  0.6754  0.1754  0.0000
La  0.8246  0.6754  0.0000
Sn  0.1279  0.6279  0.5000
Sn  0.3721  0.1279  0.5000
Sn  0.6279  0.8721  0.5000
Sn  0.8721  0.3721  0.5000
Hg  0.0000  0.0000  0.5000
Hg  0.5000  0.5000  0.5000

Calculated values
Its space-group type is P4/mbm. The polymorph energy (0 for the lowest one) is 0.186 eV per formula unit. The calculation puts the density of states at the Fermi level at 2.44 states/eV/f.u. Its energy relative to the elements is -63 kJ/mol of atoms. Its total DFT energy (no corrections) is -42.851 eV per cell.

Question: What is the formula in the first record?
Answer: YPdS2

Question: Look up the polymorph energy (0 for the lowest one) of the second one.
Answer: 0.186 eV per formula unit

Question: Which formula does entry 2 have?
Answer: La2Sn2Hg